Entry 1:
Density functional theory data (PBE) for a relaxed structure of CaY2Ir.

Values from the calculation:
formation energy from the elements	-0.1218	eV/atom
DOS at the Fermi energy	4.54	states/eV per cell
volume	24.7	Å³ per atom
ΔE to the lowest computed polymorph	281.0	meV/atom
DFT total energy	-6.070	eV per atom
total magnetic moment	0.000	μB per formula unit

Unit cell a=4.901 b=4.901 c=4.115 alpha=90.00 beta=90.00 gamma=90.00
Space group P4/mmm (No. 123)
One atom of each set of equivalent atoms:
Ca: 0.000 0.000 0.000
Y: 0.000 0.500 0.500
Ir: 0.500 0.500 0.000

***

Entry 2:
Density functional theory data (PBE) for a relaxed structure of BaNa2ZrSb.

Values from the calculation:
DOS at the Fermi energy	4.80	states/eV per cell
volume	43.3	Å³ per atom
E_form (uncorrected)	930.3	meV per atom
DFT total energy	-2.516	eV per atom
total magnetic moment	3.211	μB per formula unit

Unit cell a=5.823 b=5.823 c=6.387 alpha=90.00 beta=90.00 gamma=90.00
Space group P4/mmm (No. 123)
One atom of each set of equivalent atoms:
Ba: 0.000 0.000 0.000
Na: 0.000 0.500 0.500
Zr: 0.000 0.000 0.500
Sb: 0.500 0.500 0.000

***

- Number 2 is which compound?
  BaNa2ZrSb

***

- DFT total energy of number 1 (CaY2Ir)?
  -6.070 eV per atom

***

- Which value of total magnetic moment does entry 1 give?
  0.000 μB per formula unit

***

- total magnetic moment of number 1 (CaY2Ir)?
  0.000 μB per formula unit